DFT (GGA-PBE) results for CsTaFe3 after structural relaxation.

It has space group Pm-3m (No. 221), with a = 4.5273 Å, b = 4.5273 Å, c = 4.5273 Å, α = 90.00°, β = 90.00° and γ = 90.00°. The distinct sites, in fractional coordinates, are Cs at (0.0000, 0.0000, 0.0000), Ta at (0.5000, 0.5000, 0.5000) and Fe at (0.0000, 0.0000, 0.5000).

The value obtained for the density of states at the Fermi level is 10.78 states/eV/f.u. The volume comes out at 93 Å³/cell. For the uncorrected energy, the calculation gives -4.675 eV/atom.